<w>
Compound: TaGePt3
Source: Alexandria via LeMat-Bulk
Functional: PBE
Structure: optimized geometry

Cell lengths 4.896, 4.896, 4.896 Å; angles 90.00, 90.00, 90.00 degrees
Space group Pm-3m (No. 221)
Inequivalent atoms, fractional coordinates:
Ta 0.000 0.000 0.000 [1 per cell]
Ge 0.500 0.500 0.500 [1 per cell]
Pt 0.000 0.000 0.500 [3 per cell]

<x>
Compound: TaGePt3
Source: Alexandria via LeMat-Bulk
Functional: PBE
Structure: optimized geometry

Cell lengths 4.587, 4.587, 4.587 Å; angles 90.00, 90.00, 90.00 degrees
Space group Pm-3m (No. 221)
Inequivalent atoms, fractional coordinates:
Ta 0.000 0.000 0.000 [1 per cell]
Ge 0.500 0.500 0.500 [1 per cell]
Pt 0.000 0.500 0.500 [3 per cell]

According to the calculations, the structures order from most to least stable as <x>, <w>.